[1]
PBE CoAu3I, optimized geometry; E_form (uncorrected) = 0.77 eV/atom; volume = 23.3 A^3/atom; final energy = -2.9289 eV/atom; N(E_F) = 8.255 states/eV per cell; space-group type = No. 221; total magnetic moment = 1.72 μB per formula unit
1.0
4.887 0.000 0.000
0.000 4.887 0.000
0.000 0.000 4.887
Co Au I
1 3 1
direct
0.000 0.000 0.000 Co
0.000 0.000 0.500 Au
0.000 0.500 0.000 Au
0.500 0.000 0.000 Au
0.500 0.500 0.500 I

[2]
PBE CoAuI2, optimized geometry; E_form (uncorrected) = 0.26 eV/atom; relative energy among the computed polymorphs = 44 meV/atom; volume = 30.1 A^3/atom; final energy = -3.1098 eV/atom; N(E_F) = 8.104 states/eV per cell; space-group type = No. 122; total magnetic moment = 2.00 μB per formula unit
1.0
-3.165 3.165 6.017
3.165 -3.165 6.017
3.165 3.165 -6.017
Co Au I
2 2 4
direct
0.000 0.000 0.000 Co
0.750 0.250 0.500 Co
0.250 0.750 0.500 Au
0.500 0.500 0.000 Au
0.088 0.625 0.963 I
0.375 0.338 0.463 I
0.662 0.125 0.037 I
0.875 0.912 0.537 I

[3]
PBE CoAuI2, optimized geometry; E_form (uncorrected) = 0.22 eV/atom; relative energy among the computed polymorphs = 0 meV/atom; volume = 29.2 A^3/atom; final energy = -3.1538 eV/atom; N(E_F) = 1.973 states/eV per cell; space-group type = No. 166; total magnetic moment = 2.01 μB per formula unit
1.0
2.044 1.180 8.080
-2.044 1.180 8.080
0.000 -2.361 8.080
Co Au I
1 1 2
direct
0.000 0.000 0.000 Co
0.500 0.500 0.500 Au
0.392 0.392 0.392 I
0.608 0.608 0.608 I

[4]
PBE CoAu2I, optimized geometry; E_form (uncorrected) = 0.81 eV/atom; relative energy among the computed polymorphs = 216 meV/atom; volume = 20.4 A^3/atom; final energy = -2.9917 eV/atom; N(E_F) = 1.625 states/eV per cell; space-group type = No. 225; total magnetic moment = 1.88 μB per formula unit
1.0
0.000 3.441 3.441
3.441 0.000 3.441
3.441 3.441 0.000
Co Au I
1 2 1
direct
0.000 0.000 0.000 Co
0.250 0.250 0.250 Au
0.750 0.750 0.750 Au
0.500 0.500 0.500 I

[5]
PBE La8Co3AuI4, optimized geometry; E_form (uncorrected) = -0.74 eV/atom; volume = 31.7 A^3/atom; final energy = -5.1322 eV/atom; N(E_F) = 10.610 states/eV per cell; space-group type = No. 12; total magnetic moment = 0.00 μB per formula unit
1.0
7.360 -4.202 0.000
7.360 4.202 0.000
-4.887 0.000 8.212
La Co Au I
8 3 1 4
direct
0.208 0.742 0.684 La
0.231 0.231 0.685 La
0.258 0.792 0.316 La
0.261 0.261 0.317 La
0.739 0.739 0.683 La
0.742 0.208 0.684 La
0.769 0.769 0.315 La
0.792 0.258 0.316 La
0.000 0.000 0.500 Co
0.000 0.500 0.500 Co
0.500 0.000 0.500 Co
0.500 0.500 0.500 Au
0.000 0.000 0.000 I
0.000 0.500 0.000 I
0.500 0.000 0.000 I
0.500 0.500 0.000 I

[6]
PBE MnCo2AuI, optimized geometry; E_form (uncorrected) = 1.12 eV/atom; volume = 23.5 A^3/atom; final energy = -4.5245 eV/atom; N(E_F) = 10.261 states/eV per cell; space-group type = No. 123; total magnetic moment = 8.77 μB per formula unit
1.0
4.838 0.000 0.000
0.000 4.838 0.000
0.000 0.000 5.030
Mn Co Au I
1 2 1 1
direct
0.000 0.000 0.000 Mn
0.000 0.500 0.500 Co
0.500 0.000 0.500 Co
0.000 0.000 0.500 Au
0.500 0.500 0.000 I